(1)
A plane-wave DFT calculation with SCAN was carried out for Cu3Se2 at its PBEsol-relaxed geometry.

Cell: 6.218 6.218 4.331 Å, 90.00 90.00 90.00°
Space group P-42_1m (No. 113)
Unique sites:
Cu (0.000, 0.000, 0.000)
Cu (0.145, 0.355, 0.765)
Se (0.233, 0.733, 0.730)

Final energy ... -0.63609 Ha/atom
Uncorrected formation energy ... -0.158 eV per atom
Total magnetization ... 0.0 μB/f.u.
N(E_F) ... 9.6 states/eV/cell

---

(2)
A plane-wave DFT calculation with SCAN was carried out for SrMnNi2 at its PBEsol-relaxed geometry.

Cell: 4.504 4.504 3.161 Å, 90.00 90.00 90.00°
Space group P4/mmm (No. 123)
Unique sites:
Sr (0.000, 0.000, 0.000)
Mn (0.500, 0.500, 0.000)
Ni (0.000, 0.500, 0.500)

Final energy ... -0.65742 Ha/atom
Total magnetization ... 4.9 μB/f.u.
N(E_F) ... 1.8 states/eV/cell
Energy of formation from the pure elements ... 0.330 eV/atom

---

(3)
A plane-wave DFT calculation with SCAN was carried out for MnFe2Hg at its PBEsol-relaxed geometry.

Cell: 2.7262 2.7262 24.7987 Å, 90.00 90.00 120.00°
Space group R-3m (No. 166, hexagonal axes)
Unique sites:
Mn (0.0000, 0.0000, 0.0000)
Fe (0.0000, 0.0000, 0.2614)
Hg (0.0000, 0.0000, 0.5000)

Final energy ... -1.11087 Ha/atom
Total magnetization ... 7.2 μB/f.u.
N(E_F) ... 9.6 states/eV/cell
Energy of formation from the pure elements ... 0.442 eV/atom

---

(4)
A plane-wave DFT calculation with SCAN was carried out for YCrReI2 at its PBEsol-relaxed geometry.

Cell: 5.301 5.301 5.285 Å, 90.00 90.00 90.00°
Space group P4/mmm (No. 123)
Unique sites:
Y (0.000, 0.000, 0.000)
Cr (0.500, 0.500, 0.000)
Re (0.000, 0.000, 0.500)
I (0.000, 0.500, 0.500)

Final energy ... -1.36877 Ha/atom
Uncorrected formation energy ... 0.915 eV per atom
Total magnetization ... 4.5 μB/f.u.
N(E_F) ... 2.6 states/eV/cell

---

(5)
A plane-wave DFT calculation with SCAN was carried out for BaScCr2H at its PBEsol-relaxed geometry.

Cell: 5.579 5.579 3.924 Å, 90.00 90.00 90.00°
Space group P4/mmm (No. 123)
Unique sites:
Ba (0.000, 0.000, 0.000)
Sc (0.500, 0.500, 0.500)
Cr (0.000, 0.500, 0.000)
H (0.000, 0.000, 0.500)

Final energy ... -0.64420 Ha/atom
Total magnetization ... 8.8 μB/f.u.
N(E_F) ... 4.2 states/eV/cell

---

(6)
A plane-wave DFT calculation with SCAN was carried out for TiMn2GaAu at its PBEsol-relaxed geometry.

Cell: 4.450 4.450 4.653 Å, 90.00 90.00 90.00°
Space group P4/mmm (No. 123)
Unique sites:
Ti (0.000, 0.000, 0.000)
Mn (0.000, 0.500, 0.500)
Ga (0.000, 0.000, 0.500)
Au (0.500, 0.500, 0.000)

Final energy ... -0.99859 Ha/atom
Total magnetization ... 6.7 μB/f.u.
N(E_F) ... 3.9 states/eV/cell
Energy of formation from the pure elements ... 0.436 eV/atom